one | An optimized crystal structure of LiCoBr2, computed with PBE.

The value obtained for the total magnetic moment is 2.00 μB per formula unit.

a = 3.605 Å, b = 8.227 Å, c = 3.587 Å
α = 90.00°, β = 90.00°, γ = 90.00°
Each line ends with the local moment (μB).
Fractional positions:
Co 0.500 0.000 0.500  1.89
Br 0.500 0.500 0.000  0.00
Br 0.000 0.000 0.000  0.09
Li 0.000 0.500 0.500  0.00

two | An optimized crystal structure of LiCoBr2, computed with PBE.

The value obtained for the total magnetic moment is 2.00 μB per formula unit.

a = 7.918 Å, b = 7.918 Å, c = 7.918 Å
α = 28.09°, β = 28.09°, γ = 28.09°
Each line ends with the local moment (μB).
Fractional positions:
Br 0.899 0.899 0.899  0.03
Br 0.101 0.101 0.101  0.03
Co 0.000 0.000 0.000  1.96
Li 0.500 0.500 0.500  0.00

So which one is most stable? That would be two, about 3.3 kJ/mol of atoms below the next structure.